[1]
Computed, not measured: a geometry-optimized RbTiPS2 structure at the PBE level of DFT.

Cell lengths 4.8724, 4.8724, 4.8391 Å; angles 90.00, 90.00, 90.00 degrees
Fractional coordinates of all 5 atoms:
Rb: 0.0000 0.0000 0.0000
Ti: 0.5000 0.5000 0.5000
P: 0.5000 0.5000 0.0000
S: 0.0000 0.5000 0.5000
S: 0.5000 0.0000 0.5000

Summary:
The calculation puts the energy above the most stable polymorph in this dataset at 0.0000 eV/atom. Its symmetry is P4/mmm (123). As for the uncorrected formation energy: -646 meV/atom.

=====

[2]
Computed, not measured: a geometry-optimized Ti3V3Ge5 structure at the PBE level of DFT.

Cell lengths 9.2296, 9.2296, 9.2296 Å; angles 147.16, 126.53, 64.19 degrees
Fractional coordinates of all 22 atoms:
Ti: 0.0000 0.0000 0.5000
Ti: 0.0000 0.5000 0.0000
Ti: 0.1515 0.1515 0.0000
Ti: 0.5000 0.0000 0.0000
Ti: 0.5000 0.5000 0.5000
Ti: 0.8485 0.8485 0.0000
V: 0.1486 0.4191 0.7295
V: 0.3103 0.5809 0.7295
V: 0.5000 0.2598 0.7598
V: 0.5000 0.7402 0.2402
V: 0.6897 0.4191 0.2705
V: 0.8514 0.5809 0.2705
Ge: 0.0000 0.2437 0.2437
Ge: 0.0000 0.7563 0.7563
Ge: 0.1970 0.6970 0.5000
Ge: 0.2083 0.8971 0.3112
Ge: 0.3385 0.3385 0.0000
Ge: 0.4141 0.1029 0.3112
Ge: 0.5859 0.8971 0.6888
Ge: 0.6615 0.6615 0.0000
Ge: 0.7917 0.1029 0.6888
Ge: 0.8030 0.3030 0.5000

Summary:
The calculation puts the energy above the most stable polymorph in this dataset at 0.1561 eV/atom. Its symmetry is Immm (71).

=====

[3]
Computed, not measured: a geometry-optimized PmF5 structure at the PBE level of DFT.

Cell lengths 4.6587, 4.6587, 4.5685 Å; angles 99.28, 99.28, 53.61 degrees
Fractional coordinates of all 6 atoms:
Pm: 0.0000 0.0000 0.0000
F: 0.0000 0.0000 0.5000
F: 0.3053 0.3053 0.1546
F: 0.3781 0.3781 0.7683
F: 0.6219 0.6219 0.2317
F: 0.6947 0.6947 0.8454

Summary:
The calculation puts the energy above the most stable polymorph in this dataset at 0.0000 eV/atom. Its symmetry is C2/m (12). As for the uncorrected formation energy: -2533 meV/atom.

=====

[4]
Computed, not measured: a geometry-optimized Fe5Pd6Au structure at the PBE level of DFT.

Cell lengths 7.2344, 7.2344, 3.8740 Å; angles 105.44, 105.44, 107.53 degrees
Fractional coordinates of all 12 atoms:
Fe: 0.0000 0.0000 0.0000
Fe: 0.1701 0.8299 0.5000
Fe: 0.3277 0.6723 0.0000
Fe: 0.6723 0.3277 0.0000
Fe: 0.8299 0.1701 0.5000
Pd: 0.0745 0.4119 0.2431
Pd: 0.2341 0.2341 0.7340
Pd: 0.4119 0.0745 0.2431
Pd: 0.5881 0.9255 0.7569
Pd: 0.7659 0.7659 0.2660
Pd: 0.9255 0.5881 0.7569
Au: 0.5000 0.5000 0.5000

Summary:
The value obtained for the total energy is -77.453 eV for the cell shown. Its symmetry is C2/m (12).

=====

[5]
Computed, not measured: a geometry-optimized Hf2BiP structure at the PBE level of DFT.

Cell lengths 7.1304, 7.1304, 7.1304 Å; angles 31.39, 31.39, 31.39 degrees
Fractional coordinates of all 4 atoms:
Hf: 0.2293 0.2293 0.2293
Hf: 0.7707 0.7707 0.7707
Bi: 0.0000 0.0000 0.0000
P: 0.5000 0.5000 0.5000

Summary:
The value obtained for the total energy is -32.044 eV for the cell shown. Its symmetry is R-3m (166).

=====

[6]
Computed, not measured: a geometry-optimized FeAuC3 structure at the PBE level of DFT.

Cell lengths 3.7970, 3.7970, 3.7970 Å; angles 90.00, 90.00, 90.00 degrees
Fractional coordinates of all 5 atoms:
Fe: 0.0000 0.0000 0.0000
Au: 0.5000 0.5000 0.5000
C: 0.0000 0.0000 0.5000
C: 0.0000 0.5000 0.0000
C: 0.5000 0.0000 0.0000

Summary:
The calculation puts the energy above the most stable polymorph in this dataset at 0.0000 eV/atom. Its symmetry is Pm-3m (221).

=====

[7]
Computed, not measured: a geometry-optimized CaLa2IrC structure at the PBE level of DFT.

Cell lengths 5.5063, 5.5063, 3.9633 Å; angles 90.00, 90.00, 90.00 degrees
Fractional coordinates of all 5 atoms:
Ca: 0.0000 0.0000 0.0000
La: 0.0000 0.5000 0.5000
La: 0.5000 0.0000 0.5000
Ir: 0.5000 0.5000 0.0000
C: 0.5000 0.5000 0.5000

Summary:
The value obtained for the total energy is -30.843 eV for the cell shown. Its symmetry is P4/mmm (123).

=====

[8]
Computed, not measured: a geometry-optimized Pm14PrTl structure at the PBE level of DFT.

Cell lengths 7.2269, 7.2269, 10.2692 Å; angles 90.00, 90.00, 90.00 degrees
Fractional coordinates of all 16 atoms:
Pm: 0.0000 0.0000 0.0000
Pm: 0.0000 0.5000 0.0000
Pm: 0.0000 0.5000 0.5000
Pm: 0.2482 0.2482 0.2530
Pm: 0.2482 0.2482 0.7470
Pm: 0.2482 0.7518 0.2530
Pm: 0.2482 0.7518 0.7470
Pm: 0.5000 0.0000 0.0000
Pm: 0.5000 0.0000 0.5000
Pm: 0.5000 0.5000 0.0000
Pm: 0.7518 0.2482 0.2530
Pm: 0.7518 0.2482 0.7470
Pm: 0.7518 0.7518 0.2530
Pm: 0.7518 0.7518 0.7470
Pr: 0.5000 0.5000 0.5000
Tl: 0.0000 0.0000 0.5000

Summary:
The value obtained for the total energy is -73.943 eV for the cell shown. Its symmetry is P4/mmm (123).